(1)
# LiPd4Pb

Crystalline LiPd4Pb at its relaxed geometry (GGA-PBE, the Alexandria database).

Its total magnetization is 0.00 μB/f.u. The polymorph energy (0 for the lowest one) comes out at 77 meV per atom. For the energy relative to the elements, the calculation gives -0.223 eV per atom.

The structure belongs to space group F-43m (No. 216); the cell edges are 7.565, 7.565 and 7.565 Å and the angles 90.00°, 90.00° and 90.00°. The distinct sites, in fractional coordinates, are Li at (0.000, 0.000, 0.000), Pd at (0.125, 0.125, 0.625) and Pb at (0.250, 0.250, 0.250).

(2)
# Li3Pd2Pb4

Crystalline Li3Pd2Pb4 at its relaxed geometry (GGA-PBE, the Alexandria database).

Its total magnetization is 0.00 μB/f.u. For the energy relative to the elements, the calculation gives -0.280 eV per atom.

The structure belongs to space group C2/m (No. 12); the cell edges are 8.486, 4.712 and 9.421 Å and the angles 90.00°, 93.92° and 90.00°. The distinct sites, in fractional coordinates, are Li at (0.000, 0.000, 0.000), Li at (0.168, 0.500, 0.542), Pd at (0.176, 0.500, 0.244), Pb at (0.009, 0.000, 0.332) and Pb at (0.164, 0.500, 0.881).

(3)
# Li4Pd3Pb5

Crystalline Li4Pd3Pb5 at its relaxed geometry (GGA-PBE, the Alexandria database).

Its total magnetization is 0.00 μB/f.u. For the energy relative to the elements, the calculation gives -0.221 eV per atom.

The structure belongs to space group C2/m (No. 12); the cell edges are 7.833, 5.211 and 12.699 Å and the angles 90.00°, 99.74° and 90.00°. The distinct sites, in fractional coordinates, are Li at (0.175, 0.000, 0.352), Li at (0.177, 0.500, 0.036), Pd at (0.000, 0.000, 0.500), Pd at (0.077, 0.500, 0.804), Pb at (0.000, 0.500, 0.500), Pb at (0.060, 0.000, 0.124) and Pb at (0.212, 0.000, 0.710).